InCo3As at its PBEsol-relaxed geometry. Source: Alexandria via LeMat-Bulk, functional SCAN.

Output
For the density, the calculation gives 6.342 Mg/m³. For the energy, the calculation gives -19.565 eV/atom. The value obtained for the density of states at the Fermi level is 3.50 states/eV/cell.

a b c (Å): 4.5785 4.5785 4.5785
angles (deg): 90.00 90.00 90.00
Closest atoms and distances in Å follow each position.
Space group Pm-3m (No. 221)
Asymmetric unit:
In  0.0000  0.0000  0.0000  6 Co 2.29
Co  0.0000  0.0000  0.5000  2 In 2.29
As  0.5000  0.5000  0.5000  12 Co 3.24

=====

PrSi2P6 at its PBEsol-relaxed geometry. Source: Alexandria via LeMat-Bulk, functional SCAN.

Output
For the density, the calculation gives 3.559 Mg/m³. The uncorrected formation energy is -0.52 eV/atom.

a b c (Å): 10.0707 27.7760 10.2198
angles (deg): 90.00 90.00 90.00
Closest atoms and distances in Å follow each position.
Space group Cmc2_1 (No. 36)
Asymmetric unit:
Pr  0.0000  0.0405  0.0000  9 P 3.01-3.15
Pr  0.0000  0.2342  0.5365  8 P 2.97-3.21
Pr  0.0000  0.3115  0.0178  9 P 2.92-3.19
Pr  0.0000  0.4201  0.4215  9 P 2.96-3.17
Si  0.1597  0.0806  0.6002  4 P 2.19-2.27
Si  0.1699  0.4333  0.7797  4 P 2.23-2.27
Si  0.1711  0.1781  0.8079  4 P 2.22-2.27
Si  0.1769  0.1652  0.1414  4 P 2.22-2.29
P  0.0000  0.0409  0.7047  2 Si 2.22
P  0.0000  0.0779  0.2760  3 P 2.19-2.21
P  0.0000  0.1575  0.2807  1 P 2.21, 2 Si 2.29
P  0.0000  0.2281  0.8262  2 Si 2.22
P  0.0000  0.3191  0.3025  2 P 2.21
P  0.0000  0.3447  0.6269  2 P 2.21
P  0.0000  0.4239  0.0601  3 P 2.21
P  0.0000  0.4704  0.8844  1 P 2.21, 2 Si 2.27
P  0.1528  0.0453  0.4000  1 P 2.19, 2 Si 2.25-2.27
P  0.1534  0.3527  0.7795  1 P 2.21, 2 Si 2.24-2.27
P  0.1589  0.4576  0.1783  2 P 2.21-2.23, 1 Si 2.26
P  0.1645  0.2665  0.3103  2 P 2.21-2.22, 1 Si 2.26
P  0.2020  0.4707  0.5890  1 Si 2.23, 1 P 2.23
P  0.2049  0.1577  0.5954  2 Si 2.19-2.27
P  0.2076  0.1202  0.9597  2 Si 2.26
P  0.2093  0.2432  0.1075  1 P 2.22, 1 Si 2.22

=====

HoNiAs at its PBEsol-relaxed geometry. Source: Alexandria via LeMat-Bulk, functional SCAN.

Output
For the density, the calculation gives 9.524 Mg/m³. For the energy, the calculation gives -29.591 eV/atom. The value obtained for the density of states at the Fermi level is 1.97 states/eV/cell.

a b c (Å): 3.9925 3.9925 7.5410
angles (deg): 90.00 90.00 120.00
Closest atoms and distances in Å follow each position.
Space group P6_3/mmc (No. 194)
Asymmetric unit:
Ho  0.0000  0.0000  0.0000  6 As 2.98, 6 Ni 2.98
Ni  0.3333  0.6667  0.2500  3 As 2.31
As  0.3333  0.6667  0.7500  3 Ni 2.31

=====

TlCuSb at its PBEsol-relaxed geometry. Source: Alexandria via LeMat-Bulk, functional SCAN.

Output
For the density, the calculation gives 9.704 Mg/m³. The calculation puts the energy relative to the lowest polymorph listed for this composition at 0 meV per atom. The value obtained for the density of states at the Fermi level is 2.40 states/eV/cell. The uncorrected formation energy is 0.22 eV/atom.

a b c (Å): 3.2254 3.2254 12.8195
angles (deg): 90.00 90.00 90.00
Closest atoms and distances in Å follow each position.
Space group I4mm (No. 107)
Asymmetric unit:
Tl  0.0000  0.0000  0.0000  4 Cu 3.05, 4 Tl 3.23
Cu  0.0000  0.0000  0.3424  4 Sb 2.74, 4 Tl 3.05
Sb  0.0000  0.0000  0.7246  4 Cu 2.74

=====

LiTl2As at its PBEsol-relaxed geometry. Source: Alexandria via LeMat-Bulk, functional SCAN.

Output
For the density, the calculation gives 8.606 Mg/m³. The calculation puts the energy relative to the lowest polymorph listed for this composition at 95 meV per atom. The value obtained for the density of states at the Fermi level is 1.72 states/eV/cell.

a b c (Å): 3.0574 4.0776 7.7272
angles (deg): 90.00 100.69 90.00
Closest atoms and distances in Å follow each position.
Space group Pm (No. 6)
Asymmetric unit:
Li  0.0000  0.0000  0.0000  4 As 2.65
Tl  0.3075  0.0000  0.6097  2 As 3.03, 2 Tl 3.06, 2 Li 3.32-3.35
Tl  0.6365  0.5000  0.2937  1 As 2.95, 2 Tl 3.06
As  0.4554  0.5000  0.9052  4 Li 2.65, 1 Tl 2.95

=====

MnCu2As at its PBEsol-relaxed geometry. Source: Alexandria via LeMat-Bulk, functional SCAN.

Output
For the density, the calculation gives 8.064 Mg/m³. For the energy, the calculation gives -17.269 eV/atom. The value obtained for the density of states at the Fermi level is 1.82 states/eV/cell.

a b c (Å): 2.9982 3.5095 5.0283
angles (deg): 90.00 90.00 90.00
Closest atoms and distances in Å follow each position.
Space group Pmmm (No. 47)
Asymmetric unit:
Mn  0.0000  0.0000  0.0000  2 As 2.51, 8 Cu 2.61
Cu  0.5000  0.5000  0.2432  2 Cu 2.45-2.58, 4 Mn 2.61, 4 As 2.64
As  0.0000  0.0000  0.5000  2 Mn 2.51, 8 Cu 2.64

=====

SrHgH2 at its PBEsol-relaxed geometry. Source: Alexandria via LeMat-Bulk, functional SCAN.

Output
For the density, the calculation gives 7.601 Mg/m³. For the energy, the calculation gives -24.627 eV/atom. The value obtained for the density of states at the Fermi level is 1.38 states/eV/cell.

a b c (Å): 6.3298 6.3298 6.3298
angles (deg): 90.00 90.00 90.00
Closest atoms and distances in Å follow each position.
Space group Fm-3m (No. 225)
Asymmetric unit:
Sr  0.0000  0.0000  0.0000  8 H 2.74
Hg  0.0000  0.0000  0.5000  8 H 2.74
H  0.2500  0.2500  0.2500  4 Hg 2.74, 4 Sr 2.74

=====

Cs3BiSe at its PBEsol-relaxed geometry. Source: Alexandria via LeMat-Bulk, functional SCAN.

Output
For the density, the calculation gives 3.689 Mg/m³. The value obtained for the density of states at the Fermi level is 9.25 states/eV/cell. The uncorrected formation energy is -0.52 eV/atom.

a b c (Å): 6.7613 6.7613 6.7613
angles (deg): 90.00 90.00 90.00
Closest atoms and distances in Å follow each position.
Space group Pm-3m (No. 221)
Asymmetric unit:
Cs  0.0000  0.0000  0.5000  2 Se 3.38
Bi  0.5000  0.5000  0.5000  12 Cs 4.78
Se  0.0000  0.0000  0.0000  6 Cs 3.38

=====

InTe2PbN at its PBEsol-relaxed geometry. Source: Alexandria via LeMat-Bulk, functional SCAN.

Output
For the density, the calculation gives 7.169 Mg/m³. The calculation puts the energy relative to the lowest polymorph listed for this composition at 0 meV per atom. The value obtained for the density of states at the Fermi level is 1.62 states/eV/cell. The uncorrected formation energy is 0.54 eV/atom.

a b c (Å): 5.7883 5.7883 4.0873
angles (deg): 90.00 90.00 90.00
Closest atoms and distances in Å follow each position.
Space group P4/mmm (No. 123)
Asymmetric unit:
In  0.0000  0.0000  0.0000  2 N 2.04
Te  0.0000  0.5000  0.0000  2 In 2.89
Pb  0.5000  0.5000  0.5000  8 Te 3.54
N  0.0000  0.0000  0.5000  2 In 2.04

=====

LiLa2Pt2 at its PBEsol-relaxed geometry. Source: Alexandria via LeMat-Bulk, functional SCAN.

Output
For the density, the calculation gives 9.497 Mg/m³. For the energy, the calculation gives -46.890 eV/atom. The value obtained for the density of states at the Fermi level is 6.13 states/eV/cell.

a b c (Å): 7.7659 7.7659 3.9133
angles (deg): 90.00 90.00 90.00
Closest atoms and distances in Å follow each position.
Space group P4/mbm (No. 127)
Asymmetric unit:
Li  0.0000  0.0000  0.0000  4 Pt 3.02
La  0.1653  0.3347  0.5000  6 Pt 2.93-3.06
Pt  0.1357  0.6357  0.0000  6 La 2.93-3.06, 1 Pt 2.98, 2 Li 3.02

=====

CrRe3 at its PBEsol-relaxed geometry. Source: Alexandria via LeMat-Bulk, functional SCAN.

Output
For the density, the calculation gives 18.299 Mg/m³. For the energy, the calculation gives -57.849 eV/atom. The value obtained for the density of states at the Fermi level is 5.73 states/eV/cell.

a b c (Å): 2.8863 8.6073 4.4609
angles (deg): 90.00 90.00 90.00
Closest atoms and distances in Å follow each position.
Space group Imm2 (No. 44)
Asymmetric unit:
Cr  0.0000  0.0000  0.0000  8 Re 2.49-2.70
Re  0.0000  0.2698  0.5929  2 Cr 2.49, 7 Re 2.68-2.76
Re  0.0000  0.5000  0.0121  4 Cr 2.61-2.70, 8 Re 2.72-2.89

=====

Computed magnetic moment, in the same sequence as the records: 4.7 0.0 0.0 0.0 0.0 4.1 0.0 2.0 2.0 0.0 0.0 μB/cell.